# 1
First-principles (PBE) data for YZn2Pd2 after structural relaxation, as listed in Alexandria.

a = 7.5352 Å, b = 7.5352 Å, c = 3.0326 Å
α = 90.00°, β = 90.00°, γ = 90.00°
Space group P4/mbm (No. 127)
Inequivalent atoms, fractional coordinates:
Y  0.0000  0.0000  0.0000 x2
Zn  0.1170  0.3830  0.0000 x4
Pd  0.1804  0.6804  0.5000 x4

## Properties
* energy above the most stable polymorph in this dataset: 78 meV/atom
* crystal system: tetragonal

# 2
First-principles (PBE) data for TbZrZnCu after structural relaxation, as listed in Alexandria.

a = 6.8496 Å, b = 6.8496 Å, c = 6.8496 Å
α = 90.00°, β = 90.00°, γ = 90.00°
Space group F-43m (No. 216)
Inequivalent atoms, fractional coordinates:
Tb  0.0000  0.0000  0.0000 x4
Zr  0.0000  0.0000  0.5000 x4
Zn  0.2500  0.2500  0.2500 x4
Cu  0.2500  0.2500  0.7500 x4

## Properties
* crystal system: cubic

| no. | E_form (eV per atom) | DOS(E_F) (states/eV/f.u.) |
| --- | --- | --- |
| 1 | -0.56 | 2.3 |
| 2 | -0.15 | 3.3 |